[1]
## Y3UO7 (PBE)

Data for Y3UO7 after structural relaxation.

## Properties
calculated density: 6.5 g/cm³
calculated total energy: -103.5 eV/f.u.
formation energy without anion corrections: -3.47 eV per atom

```
Y3UO7
1.0
-2.4286 1.4494 5.9685
1.1677 -6.4869 -0.4222
7.1706 1.1185 2.6461
Y U O
6 2 14
Direct
0.4998 0.4998 0.5000
0.5002 0.5002 0.0000
0.5310 0.0048 0.2500
0.4690 0.9952 0.7500
0.0048 0.5310 0.7500
0.9952 0.4690 0.2500
0.0000 0.0000 0.5000
0.0000 0.0000 0.0000
0.6639 0.9143 0.5303
0.3361 0.0857 0.0303
0.9143 0.6639 0.4697
0.0857 0.3361 0.9697
0.0858 0.3362 0.5301
0.9142 0.6638 0.0301
0.3362 0.0858 0.4699
0.6638 0.9142 0.9699
0.3665 0.6335 0.2500
0.6335 0.3665 0.7500
0.6337 0.3663 0.2500
0.3663 0.6337 0.7500
0.9056 0.0944 0.2500
0.0944 0.9056 0.7500
```

[2]
## TcAg3 (PBE)

Data for TcAg3 after structural relaxation.

## Properties
calculated density: 10.3 g/cm³
DOS at the Fermi energy: 0.79 states/eV/atom
calculated total energy: -17.2 eV/f.u.
formation energy: 0.432 eV/atom
distance to the lowest polymorph of the same formula: 120 meV/atom

```
TcAg3
1.0
-1.4792 -2.4167 -3.7482
-6.3198 -4.7473 5.5549
-4.1206 4.2112 -1.0890
Tc Ag
4 12
Direct
0.0949 0.7500 0.6549
0.4051 0.2500 0.1549
0.5949 0.7500 0.8451
0.9051 0.2500 0.3451
0.9015 0.2500 0.8701
0.2462 0.9979 0.3791
0.2462 0.5021 0.3791
0.2538 0.4979 0.8791
0.2538 0.0021 0.8791
0.5985 0.7500 0.3701
0.4015 0.2500 0.6299
0.7462 0.9979 0.1209
0.7462 0.5021 0.1209
0.7538 0.4979 0.6209
0.7538 0.0021 0.6209
0.0985 0.7500 0.1299
```

[3]
## Rb2In2Au (PBE)

Data for Rb2In2Au after structural relaxation.

## Properties
calculated density: 4.4 g/cm³
DOS at the Fermi energy: 0.58 states/eV/atom
calculated total energy: -11.1 eV/f.u.
formation energy: -0.091 eV/atom
distance to the lowest polymorph of the same formula: 71 meV/atom

```
Rb2In2Au
1.0
-0.0123 -4.8146 -1.2471
2.1587 -1.1287 4.3362
-17.6757 1.0055 6.2091
Rb In Au
4 4 2
Direct
0.8242 0.8242 0.6484
0.5742 0.0742 0.1484
0.9258 0.4258 0.8516
0.1758 0.1758 0.3516
0.4684 0.9684 0.9367
0.7184 0.7184 0.4367
0.2816 0.2816 0.5633
0.0316 0.5316 0.0633
0.5000 0.5000 0.0000
0.2500 0.7500 0.5000
```

[4]
## LiIn12Ga7 (PBE)

Data for LiIn12Ga7 after structural relaxation.

## Properties
calculated density: 6.4 g/cm³
DOS at the Fermi energy: 0.35 states/eV/atom
calculated total energy: -55.7 eV/f.u.
formation energy: 0.014 eV/atom

```
LiIn12Ga7
1.0
8.2148 0.0677 0.1016
-2.2192 7.9096 0.1016
-2.2192 -2.9527 7.3385
Li In Ga
1 12 7
Direct
0.0000 0.0000 0.0000
0.9277 0.3016 0.8515
0.6984 0.1485 0.0723
0.6355 0.1671 0.4546
0.8329 0.5454 0.3645
0.1485 0.0723 0.6984
0.5454 0.3645 0.8329
0.4546 0.6355 0.1671
0.8515 0.9277 0.3016
0.1671 0.4546 0.6355
0.3645 0.8329 0.5454
0.3016 0.8515 0.9277
0.0723 0.6984 0.1485
0.8815 0.6237 0.7533
0.3763 0.2467 0.1185
0.2467 0.1185 0.3763
0.5000 0.5000 0.5000
0.7533 0.8815 0.6237
0.6237 0.7533 0.8815
0.1185 0.3763 0.2467
```

[5]
## LiAc3Cu2O9 (PBE)

Data for LiAc3Cu2O9 after structural relaxation.

## Properties
calculated density: 8.7 g/cm³
DOS at the Fermi energy: 0.43 states/eV/atom
calculated total energy: -97.9 eV/f.u.
formation energy without anion corrections: -2.06 eV per atom

```
LiAc3Cu2O9
1.0
5.5514 0.0000 0.0000
-2.7757 4.8077 0.0000
0.0000 0.0000 6.8244
Li Ac Cu O
1 3 2 9
Direct
0.0000 0.0000 0.5000
0.3333 0.6667 0.6607
0.0000 0.0000 0.0000
0.6667 0.3333 0.3393
0.3333 0.6667 0.1670
0.6667 0.3333 0.8330
0.8296 0.1704 0.6733
0.8296 0.6592 0.6733
0.3408 0.1704 0.6733
0.6592 0.8296 0.3267
0.1704 0.3408 0.3267
0.1704 0.8296 0.3267
0.5000 0.0000 0.0000
0.0000 0.5000 0.0000
0.5000 0.5000 0.0000
```

[6]
## Ho2Mg2Ag3 (PBE)

Data for Ho2Mg2Ag3 after structural relaxation.

## Properties
calculated density: 7.1 g/cm³
DOS at the Fermi energy: 0.54 states/eV/atom
calculated total energy: -22.0 eV/f.u.
formation energy: -0.160 eV/atom

```
Ho2Mg2Ag3
1.0
-2.0714 -3.1432 2.9671
3.6583 -1.3761 -2.7890
5.4625 4.6299 4.8812
Ho Mg Ag
2 2 3
Direct
0.2477 0.1238 0.3695
0.7523 0.8762 0.6305
0.7428 0.3714 0.1135
0.2572 0.6286 0.8865
0.0000 0.0000 0.0000
0.5039 0.2519 0.7570
0.4961 0.7481 0.2430
```

The lowest calculated total energy belongs to which entry? Y3UO7